RbBeSeBr2 after structural relaxation. Source: the Alexandria database, functional PBE-GGA.

```
RbBeSeBr2
1.0
5.474 0.000 0.000
0.000 5.474 0.000
0.000 0.000 4.435
Rb Be Se Br
1 1 1 2
direct
0.000 0.000 0.000
0.500 0.500 0.500
0.500 0.500 0.000
0.000 0.500 0.500
0.500 0.000 0.500
```

Summary:
**Energy relative to the elements, uncorrected**: -0.692 eV/atom
**Uncorrected energy**: -0.2203 Ry/atom
**Energy relative to the lowest polymorph listed for this composition**: 0 meV per atom